Entry 1:
# LaRe6, optimized geometry, DFT GGA-PBE
# - Density of states at the Fermi level: 0.865 states/eV per atom
# - DFT total energy: -146.43 eV per cell
# - Calculated formation energy: 0.914 eV per atom
data_LaRe6
_chemical_formula_sum 'La2 Re12'
_cell_length_a 6.9149
_cell_length_b 6.9149
_cell_length_c 6.9149
_cell_angle_alpha 90.00
_cell_angle_beta 90.00
_cell_angle_gamma 90.00
_symmetry_space_group_name_H-M 'I m -3 m'
_symmetry_Int_Tables_number 229
_symmetry_space_group_name_Hall '-I 4 2 3'
loop_
_atom_site_label
_atom_site_type_symbol
_atom_site_fract_x
_atom_site_fract_y
_atom_site_fract_z
_atom_site_occupancy
La1 La 0.0000 0.0000 0.0000 1
Re1 Re 0.0000 0.2500 0.5000 1



Entry 2:
# La3Re4, optimized geometry, DFT GGA-PBE
# - Density of states at the Fermi level: 1.162 states/eV per atom
# - DFT total energy: -54.92 eV per cell
# - Calculated formation energy: 1.379 eV per atom
data_La3Re4
_chemical_formula_sum 'La3 Re4'
_cell_length_a 6.2574
_cell_length_b 6.2574
_cell_length_c 4.8320
_cell_angle_alpha 90.00
_cell_angle_beta 90.00
_cell_angle_gamma 120.00
_symmetry_space_group_name_H-M 'P 6/m m m'
_symmetry_Int_Tables_number 191
_symmetry_space_group_name_Hall '-P 6 2'
loop_
_atom_site_label
_atom_site_type_symbol
_atom_site_fract_x
_atom_site_fract_y
_atom_site_fract_z
_atom_site_occupancy
La1 La 0.0000 0.5000 0.0000 1
Re1 Re 0.0000 0.0000 0.2356 1
Re2 Re 0.3333 0.6667 0.5000 1



Entry 3:
# LaRe2, optimized geometry, DFT GGA-PBE
# - Density of states at the Fermi level: 0.739 states/eV per atom
# - DFT total energy: -115.32 eV per cell
# - Calculated formation energy: 0.332 eV per atom
data_LaRe2
_chemical_formula_sum 'La4 Re8'
_cell_length_a 5.6699
_cell_length_b 4.2195
_cell_length_c 11.1153
_cell_angle_alpha 90.00
_cell_angle_beta 90.00
_cell_angle_gamma 90.00
_symmetry_space_group_name_H-M 'P n m a'
_symmetry_Int_Tables_number 62
loop_
_symmetry_equiv_pos_as_xyz
'x,y,z'
'-x,-y,-z'
'-x+1/2,-y,z+1/2'
'x+1/2,y,-z+1/2'
'x+1/2,-y+1/2,-z+1/2'
'-x+1/2,y+1/2,z+1/2'
'-x,y+1/2,-z'
'x,-y+1/2,z'
loop_
_atom_site_label
_atom_site_type_symbol
_atom_site_fract_x
_atom_site_fract_y
_atom_site_fract_z
_atom_site_occupancy
La1 La 0.1043 0.2500 0.1313 1
Re1 Re 0.0943 0.2500 0.4408 1
Re2 Re 0.1046 0.7500 0.3233 1



Entry 4:
# La2Re3, optimized geometry, DFT GGA-PBE
# - Density of states at the Fermi level: 1.079 states/eV per atom
# - DFT total energy: -175.41 eV per cell
# - Calculated formation energy: 0.670 eV per atom
data_La2Re3
_chemical_formula_sum 'La8 Re12'
_cell_length_a 3.2321
_cell_length_b 4.8787
_cell_length_c 24.7640
_cell_angle_alpha 90.00
_cell_angle_beta 90.00
_cell_angle_gamma 90.00
_symmetry_space_group_name_H-M 'F m m m'
_symmetry_Int_Tables_number 69
_symmetry_space_group_name_Hall '-F 2 2'
loop_
_atom_site_label
_atom_site_type_symbol
_atom_site_fract_x
_atom_site_fract_y
_atom_site_fract_z
_atom_site_occupancy
La1 La 0.0000 0.0000 0.1019 1
Re1 Re 0.0000 0.0000 0.2902 1
Re2 Re 0.0000 0.0000 0.5000 1